Material: AlPd
Method: DFT, PBE-GGA
State: optimized geometry

The space group is Fm-3m (No. 225) and the conventional cell measures 5.109, 5.109 and 5.109 Å, with angles of 90.00, 90.00 and 90.00 degrees. The inequivalent atoms are Al at (0.000, 0.000, 0.000) and Pd at (0.000, 0.000, 0.500).

Material: PmAl2Pd
Method: DFT, PBE-GGA
State: optimized geometry

The space group is Cmcm (No. 63) and the conventional cell measures 4.288, 10.744 and 6.996 Å, with angles of 90.00, 90.00 and 90.00 degrees. The inequivalent atoms are Pm at (0.000, 0.065, 0.250), Al at (0.000, 0.347, 0.055) and Pd at (0.000, 0.214, 0.750).

As for the magnetic moment: 0.00 μB per formula unit.

Material: PmAlPd2
Method: DFT, PBE-GGA
State: optimized geometry

The space group is Pnma (No. 62) and the conventional cell measures 7.445, 7.097 and 5.830 Å, with angles of 90.00, 90.00 and 90.00 degrees. The inequivalent atoms are Pm at (0.031, 0.250, 0.151), Al at (0.117, 0.750, 0.349) and Pd at (0.179, 0.052, 0.588).

As for the magnetic moment: 0.00 μB per formula unit.

Material: PmAl4Pd
Method: DFT, PBE-GGA
State: optimized geometry

The space group is Cmcm (No. 63) and the conventional cell measures 4.245, 15.900 and 6.717 Å, with angles of 90.00, 90.00 and 90.00 degrees. The inequivalent atoms are Pm at (0.000, 0.115, 0.250), Al at (0.000, 0.072, 0.750), Al at (0.000, 0.317, 0.052), Al at (0.000, 0.500, 0.000) and Pd at (0.000, 0.225, 0.750).

As for the magnetic moment: 0.00 μB per formula unit.

Material: Pm3Al7Pd2
Method: DFT, PBE-GGA
State: optimized geometry

The space group is R-3m (No. 166, hexagonal axes) and the conventional cell measures 5.5842, 5.5842 and 26.3189 Å, with angles of 90.00, 90.00 and 120.00 degrees. The inequivalent atoms are Pm at (0.0000, 0.0000, 0.0000), Pm at (0.0000, 0.0000, 0.1436), Al at (0.0000, 0.0000, 0.5000), Al at (0.0070, 0.5035, 0.9212) and Pd at (0.0000, 0.0000, 0.3362).

As for the magnetic moment: 0.01 μB per formula unit.

Material: PrAl3Pd
Method: DFT, PBE-GGA
State: optimized geometry

The space group is I4mm (No. 107) and the conventional cell measures 4.334, 4.334 and 10.737 Å, with angles of 90.00, 90.00 and 90.00 degrees. The inequivalent atoms are Pr at (0.000, 0.000, 0.000), Al at (0.000, 0.000, 0.412), Al at (0.000, 0.500, 0.257) and Pd at (0.000, 0.000, 0.642).

As for the magnetic moment: 0.01 μB per formula unit.

Material: PrAl2Pd2
Method: DFT, PBE-GGA
State: optimized geometry

The space group is I4/mmm (No. 139) and the conventional cell measures 4.214, 4.214 and 11.029 Å, with angles of 90.00, 90.00 and 90.00 degrees. The inequivalent atoms are Pr at (0.000, 0.000, 0.000), Al at (0.000, 0.500, 0.250) and Pd at (0.000, 0.000, 0.377).

As for the magnetic moment: 0.00 μB per formula unit.

Material: PrAl2Pd2
Method: DFT, PBE-GGA
State: optimized geometry

The space group is I4/mmm (No. 139) and the conventional cell measures 4.315, 4.315 and 10.508 Å, with angles of 90.00, 90.00 and 90.00 degrees. The inequivalent atoms are Pr at (0.000, 0.000, 0.000), Al at (0.000, 0.000, 0.372) and Pd at (0.000, 0.500, 0.250).

As for the magnetic moment: 0.01 μB per formula unit.

Material: PrAl2PdPt
Method: DFT, PBE-GGA
State: optimized geometry

The space group is P4/nmm (No. 129, origin choice 2) and the conventional cell measures 4.405, 4.405 and 10.040 Å, with angles of 90.00, 90.00 and 90.00 degrees. The inequivalent atoms are Pr at (0.250, 0.250, 0.249), Al at (0.250, 0.250, 0.877), Al at (0.250, 0.750, 0.500), Pd at (0.250, 0.750, 0.000) and Pt at (0.250, 0.250, 0.630).

As for the magnetic moment: 0.02 μB per formula unit.

Material: Pr2Al2PdPt3
Method: DFT, PBE-GGA
State: optimized geometry

The space group is P3m1 (No. 156) and the conventional cell measures 4.4012, 4.4012 and 9.7922 Å, with angles of 90.00, 90.00 and 120.00 degrees. The inequivalent atoms are Pr at (0.0000, 0.0000, 0.0000), Pr at (0.3333, 0.6667, 0.5033), Al at (0.6667, 0.3333, 0.2436), Al at (0.6667, 0.3333, 0.7505), Pd at (0.0000, 0.0000, 0.3244), Pt at (0.0000, 0.0000, 0.6765), Pt at (0.3333, 0.6667, 0.1854) and Pt at (0.3333, 0.6667, 0.8208).

As for the magnetic moment: 0.01 μB per formula unit.

Quick rundown of total DFT energy (no corrections), same order as above: -4.896, -5.110, -5.607, -4.772, -4.923, -4.941, -5.354, -5.329, -5.714, -6.093 eV/atom
Quick rundown of density, same order as above: 6644, 6293, 8298, 5264, 5864, 5406, 6914, 6921, 8460, 10386 kg/m³